LiAcReO5 | PBE-GGA | relaxed

abc: 6.306 6.306 8.680
angles: 106.53 106.53 92.96
Fractional coordinates of all 16 atoms:
Li 0.197 0.803 0.750
Li 0.803 0.197 0.250
Ac 0.500 0.500 0.000
Ac 0.500 0.500 0.500
Re 0.111 0.889 0.250
Re 0.889 0.111 0.750
O 0.145 0.190 0.347
O 0.190 0.145 0.847
O 0.209 0.750 0.079
O 0.250 0.791 0.421
O 0.399 0.601 0.750
O 0.601 0.399 0.250
O 0.750 0.209 0.579
O 0.791 0.250 0.921
O 0.810 0.855 0.153
O 0.855 0.810 0.653

Computed properties:
formation energy from raw total energies = -2.142 eV per atom
E = -7.55 eV/atom